First-principles (PBE) data for a geometry-optimized PuBeZn structure, as listed in Alexandria via LeMat-Bulk.

## Properties
**DFT formation energy**: 0.137 eV/atom
**Raw total energy**: -6.307 eV per atom
**Crystal system**: orthorhombic

Cell: 4.880 8.021 10.065 Å, 90.00 90.00 90.00°
Space group Fmmm (No. 69)
Inequivalent atoms, fractional coordinates:
Pu  0.000  0.172  0.000 x8
Be  0.250  0.250  0.250 x8
Zn  0.000  0.000  0.325 x8